*A*
## TeBr2 (PBE-GGA)

Data for TeBr2 after structural relaxation.

Cell: 3.4922 3.4922 14.2002 Å, 90.00 90.00 90.00°
Closest atoms and distances in Å follow each position.
Space group I4/mmm (No. 139)
Unique sites:
1 Te 0.0000 0.0000 0.0000 x2  8 Br 3.18, 4 Te 3.49
2 Br 0.0000 0.0000 0.3587 x4  4 Te 3.18, 4 Br 3.49

Properties
* density of states at the Fermi level: 1.1745 states/eV/atom
* size of the total moment: 0.0 μB/f.u.



*B*
## TeBr2 (PBE-GGA)

Data for TeBr2 after structural relaxation.

Cell: 8.7815 8.7815 8.7815 Å, 90.00 90.00 90.00°
Closest atoms and distances in Å follow each position.
Space group Fd-3m (No. 227, origin choice 2)
Unique sites:
1 Te 0.1250 0.1250 0.1250 x8  12 Br 3.64, 4 Te 3.80
2 Br 0.0000 0.0000 0.5000 x16  6 Br 3.10

Properties
* density of states at the Fermi level: 1.6779 states/eV/atom
* size of the total moment: 0.0 μB/f.u.



*C*
## TeBr2 (PBE-GGA)

Data for TeBr2 after structural relaxation.

Cell: 4.2069 7.2347 8.8731 Å, 66.94 83.68 77.91°
Closest atoms and distances in Å follow each position.
Space group P1 (No. 1)
Unique sites:
1 Te 0.0000 0.0000 0.0000 x1  1 Br 2.55
2 Te 0.3561 0.3316 0.9128 x1  3 Br 2.56-2.87
3 Br 0.2386 0.1993 0.6621 x1  2 Te 2.87-2.94
4 Br 0.3212 0.3653 0.1915 x1  1 Te 2.56
5 Br 0.8283 0.6512 0.7921 x1  1 Te 2.80
6 Br 0.9236 0.8738 0.3106 x1  1 Te 2.55

Properties
* size of the total moment: 0.0 μB/f.u.



*D*
## TeBr2 (PBE-GGA)

Data for TeBr2 after structural relaxation.

Cell: 3.5202 27.4051 4.3776 Å, 90.00 90.00 90.00°
Closest atoms and distances in Å follow each position.
Space group Cmcm (No. 63)
Unique sites:
1 Te 0.0000 0.1262 0.2500 x4  2 Br 2.78
2 Br 0.0000 0.1887 0.7500 x4  2 Te 2.78
3 Br 0.0000 0.4298 0.2500 x4  4 Te 3.20, 2 Br 3.52

Properties
* density of states at the Fermi level: 0.8279 states/eV/atom
* size of the total moment: 0.0 μB/f.u.



The structure with the least stability is *B*.



*A*
## TeBr2 (PBE-GGA)

Data for TeBr2 after structural relaxation.

Cell: 3.4925 3.4925 29.0394 Å, 90.00 90.00 90.00°
Closest atoms and distances in Å follow each position.
Space group I4_1/amd (No. 141, origin choice 2)
Unique sites:
1 Te 0.0000 0.2500 0.3750 x4  8 Br 3.18, 4 Te 3.49
2 Br 0.0000 0.2500 0.8058 x8  4 Te 3.18, 4 Br 3.49

Properties
* density of states at the Fermi level: 0.9799 states/eV/atom
* size of the total moment: 0.0 μB/f.u.



*B*
## TeBr2 (PBE-GGA)

Data for TeBr2 after structural relaxation.

Cell: 5.1025 5.1025 3.5607 Å, 90.00 90.00 90.00°
Closest atoms and distances in Å follow each position.
Space group P4/mmm (No. 123)
Unique sites:
1 Te 0.0000 0.0000 0.0000 x1  8 Br 3.11
2 Br 0.0000 0.5000 0.5000 x2  4 Te 3.11

Properties
* density of states at the Fermi level: 0.5430 states/eV/atom
* size of the total moment: 0.0 μB/f.u.



The structure with the least stability is *A*.